A geometry-optimized BaZn2 structure. Source: the Alexandria database, functional GGA-PBE.

Cell and atoms, written as POSCAR:
```
BaZn2
1.0
5.0454 0.0000 0.0000
0.0000 8.1343 0.0000
0.0000 0.0000 7.8535
Ba Zn
4 8
Cartesian
0.0000 2.0336 0.4490
0.0000 6.1007 7.4045
2.5227 2.0336 3.4778
2.5227 6.1007 4.3757
0.0000 0.6303 5.1872
0.0000 3.4368 5.1872
0.0000 4.6975 2.6662
0.0000 7.5039 2.6662
2.5227 0.6303 6.5930
2.5227 3.4368 6.5930
2.5227 4.6975 1.2605
2.5227 7.5039 1.2605
```

Summary:
- VASP energy (hartree per atom) = -0.062
- energy of formation (eV/atom) = -0.185

A geometry-optimized Nd3DyAg3 structure. Source: the Alexandria database, functional GGA-PBE.

Cell and atoms, written as POSCAR:
```
Nd3DyAg3
1.0
5.0747 -5.4604 0.0000
5.0747 5.4604 0.0000
-0.1417 0.0000 7.1767
Nd Dy Ag
6 2 6
Cartesian
5.0747 3.5169 0.0000
5.0038 2.4952 3.5884
3.6307 0.0000 0.9134
6.3769 0.0000 6.2633
5.0038 -2.4952 3.5884
5.0747 -3.5169 0.0000
2.4727 0.0000 4.5590
7.5349 0.0000 2.6177
2.5247 2.7534 5.5301
0.6386 0.0000 2.3128
7.4829 2.7534 1.6466
2.5247 -2.7534 5.5301
9.3690 0.0000 4.8639
7.4829 -2.7534 1.6466
```

Summary:
- VASP energy (hartree per atom) = -0.148
- energy of formation (eV/atom) = -0.117

A geometry-optimized CsNdPb2 structure. Source: the Alexandria database, functional GGA-PBE.

Cell and atoms, written as POSCAR:
```
CsNdPb2
1.0
3.9088 0.0000 0.0000
-1.9544 3.3851 0.0000
0.0000 0.0000 34.4778
Cs Nd Pb
3 3 6
Cartesian
0.0000 0.0000 0.0000
0.0000 2.2567 22.9852
1.9544 1.1284 11.4926
0.0000 0.0000 17.2389
0.0000 2.2567 5.7463
1.9544 1.1284 28.7315
0.0000 0.0000 8.2975
0.0000 0.0000 26.1804
0.0000 2.2567 14.6878
0.0000 2.2567 31.2827
1.9544 1.1284 3.1951
1.9544 1.1284 19.7901
```

Summary:
- relative energy among the computed polymorphs (eV/atom) = 0.204
- VASP energy (hartree per atom) = -0.125
- energy of formation (eV/atom) = -0.131

Q: Among the records above, which one has the lowest energy of formation?
A: BaZn2

Q: Look up the VASP energy of the first one.
A: -0.062 hartree per atom

Repeat the second record exactly.
A geometry-optimized Nd3DyAg3 structure. Source: the Alexandria database, functional GGA-PBE.

Cell and atoms, written as POSCAR:
```
Nd3DyAg3
1.0
5.0747 -5.4604 0.0000
5.0747 5.4604 0.0000
-0.1417 0.0000 7.1767
Nd Dy Ag
6 2 6
Cartesian
5.0747 3.5169 0.0000
5.0038 2.4952 3.5884
3.6307 0.0000 0.9134
6.3769 0.0000 6.2633
5.0038 -2.4952 3.5884
5.0747 -3.5169 0.0000
2.4727 0.0000 4.5590
7.5349 0.0000 2.6177
2.5247 2.7534 5.5301
0.6386 0.0000 2.3128
7.4829 2.7534 1.6466
2.5247 -2.7534 5.5301
9.3690 0.0000 4.8639
7.4829 -2.7534 1.6466
```

Summary:
- VASP energy (hartree per atom) = -0.148
- energy of formation (eV/atom) = -0.117

Q: Look up the VASP energy of the second one.
A: -0.148 hartree per atom